(w)
DFT (PBE) results for a relaxed TeWSe2N crystal.

```
data_TeWSe2N
_symmetry_space_group_name_H-M 'P 4/m m m'
_symmetry_Int_Tables_number 123
_symmetry_space_group_name_Hall '-P 4 2'
_cell_length_a 5.3647
_cell_length_b 5.3647
_cell_length_c 3.8700
_cell_angle_alpha 90.00
_cell_angle_beta 90.00
_cell_angle_gamma 90.00
loop_
_atom_site_label
_atom_site_type_symbol
_atom_site_fract_x
_atom_site_fract_y
_atom_site_fract_z
_atom_site_occupancy
Te1 Te 0.0000 0.0000 0.0000 1
W1 W 0.5000 0.5000 0.5000 1
Se1 Se 0.0000 0.5000 0.0000 1
N1 N 0.0000 0.0000 0.5000 1
```

Calculated values
spin magnetization	3.41	μB per cell

=====

(x)
DFT (PBE) results for a relaxed TeWSe2N crystal.

```
data_TeWSe2N
_symmetry_space_group_name_H-M 'P 4/m m m'
_symmetry_Int_Tables_number 123
_symmetry_space_group_name_Hall '-P 4 2'
_cell_length_a 5.1372
_cell_length_b 5.1372
_cell_length_c 3.8372
_cell_angle_alpha 90.00
_cell_angle_beta 90.00
_cell_angle_gamma 90.00
loop_
_atom_site_label
_atom_site_type_symbol
_atom_site_fract_x
_atom_site_fract_y
_atom_site_fract_z
_atom_site_occupancy
Te1 Te 0.0000 0.0000 0.0000 1
W1 W 0.5000 0.5000 0.5000 1
Se1 Se 0.0000 0.5000 0.5000 1
N1 N 0.5000 0.5000 0.0000 1
```

Calculated values
spin magnetization	0.00	μB per cell

=====

Most stable to least stable: (x), (w)

=====

(w)
DFT (PBE) results for a relaxed YTeSe2N crystal.

```
data_YTeSe2N
_symmetry_space_group_name_H-M 'P 4/m m m'
_symmetry_Int_Tables_number 123
_symmetry_space_group_name_Hall '-P 4 2'
_cell_length_a 5.4219
_cell_length_b 5.4219
_cell_length_c 3.9994
_cell_angle_alpha 90.00
_cell_angle_beta 90.00
_cell_angle_gamma 90.00
loop_
_atom_site_label
_atom_site_type_symbol
_atom_site_fract_x
_atom_site_fract_y
_atom_site_fract_z
_atom_site_occupancy
Y1 Y 0.0000 0.0000 0.0000 1
Te1 Te 0.5000 0.5000 0.5000 1
Se1 Se 0.0000 0.5000 0.5000 1
N1 N 0.5000 0.5000 0.0000 1
```

Calculated values
spin magnetization	0.00	μB per cell

=====

(x)
DFT (PBE) results for a relaxed YTeSe2N crystal.

```
data_YTeSe2N
_symmetry_space_group_name_H-M 'P 4/m m m'
_symmetry_Int_Tables_number 123
_symmetry_space_group_name_Hall '-P 4 2'
_cell_length_a 5.5885
_cell_length_b 5.5885
_cell_length_c 4.1128
_cell_angle_alpha 90.00
_cell_angle_beta 90.00
_cell_angle_gamma 90.00
loop_
_atom_site_label
_atom_site_type_symbol
_atom_site_fract_x
_atom_site_fract_y
_atom_site_fract_z
_atom_site_occupancy
Y1 Y 0.0000 0.0000 0.0000 1
Te1 Te 0.5000 0.5000 0.5000 1
Se1 Se 0.0000 0.5000 0.0000 1
N1 N 0.0000 0.0000 0.5000 1
```

Calculated values
spin magnetization	0.00	μB per cell

=====

Most stable to least stable: (w), (x)

=====

(w)
DFT (PBE) results for a relaxed ZnTe2SeN crystal.

```
data_ZnTe2SeN
_symmetry_space_group_name_H-M 'P 4/m m m'
_symmetry_Int_Tables_number 123
_symmetry_space_group_name_Hall '-P 4 2'
_cell_length_a 5.7435
_cell_length_b 5.7435
_cell_length_c 3.6654
_cell_angle_alpha 90.00
_cell_angle_beta 90.00
_cell_angle_gamma 90.00
loop_
_atom_site_label
_atom_site_type_symbol
_atom_site_fract_x
_atom_site_fract_y
_atom_site_fract_z
_atom_site_occupancy
Zn1 Zn 0.0000 0.0000 0.0000 1
Te1 Te 0.0000 0.5000 0.5000 1
Se1 Se 0.5000 0.5000 0.5000 1
N1 N 0.5000 0.5000 0.0000 1
```

Calculated values
spin magnetization	0.00	μB per cell

=====

(x)
DFT (PBE) results for a relaxed ZnTe2SeN crystal.

```
data_ZnTe2SeN
_symmetry_space_group_name_H-M 'P 4/m m m'
_symmetry_Int_Tables_number 123
_symmetry_space_group_name_Hall '-P 4 2'
_cell_length_a 5.5518
_cell_length_b 5.5518
_cell_length_c 3.6808
_cell_angle_alpha 90.00
_cell_angle_beta 90.00
_cell_angle_gamma 90.00
loop_
_atom_site_label
_atom_site_type_symbol
_atom_site_fract_x
_atom_site_fract_y
_atom_site_fract_z
_atom_site_occupancy
Zn1 Zn 0.0000 0.0000 0.0000 1
Te1 Te 0.0000 0.5000 0.0000 1
Se1 Se 0.5000 0.5000 0.5000 1
N1 N 0.0000 0.0000 0.5000 1
```

Calculated values
spin magnetization	1.67	μB per cell

=====

Most stable to least stable: (x), (w)

=====

(w)
DFT (PBE) results for a relaxed ZrTeSeN2 crystal.

```
data_ZrTeSeN2
_symmetry_space_group_name_H-M 'P 4/m m m'
_symmetry_Int_Tables_number 123
_symmetry_space_group_name_Hall '-P 4 2'
_cell_length_a 4.0694
_cell_length_b 4.0694
_cell_length_c 5.2437
_cell_angle_alpha 90.00
_cell_angle_beta 90.00
_cell_angle_gamma 90.00
loop_
_atom_site_label
_atom_site_type_symbol
_atom_site_fract_x
_atom_site_fract_y
_atom_site_fract_z
_atom_site_occupancy
Zr1 Zr 0.0000 0.0000 0.0000 1
Te1 Te 0.5000 0.5000 0.0000 1
Se1 Se 0.5000 0.5000 0.5000 1
N1 N 0.0000 0.5000 0.5000 1
```

Calculated values
spin magnetization	0.00	μB per cell

=====

(x)
DFT (PBE) results for a relaxed ZrTeSeN2 crystal.

```
data_ZrTeSeN2
_symmetry_space_group_name_H-M 'P 4/m m m'
_symmetry_Int_Tables_number 123
_symmetry_space_group_name_Hall '-P 4 2'
_cell_length_a 4.1891
_cell_length_b 4.1891
_cell_length_c 5.7042
_cell_angle_alpha 90.00
_cell_angle_beta 90.00
_cell_angle_gamma 90.00
loop_
_atom_site_label
_atom_site_type_symbol
_atom_site_fract_x
_atom_site_fract_y
_atom_site_fract_z
_atom_site_occupancy
Zr1 Zr 0.0000 0.0000 0.0000 1
Te1 Te 0.5000 0.5000 0.5000 1
Se1 Se 0.0000 0.0000 0.5000 1
N1 N 0.0000 0.5000 0.0000 1
```

Calculated values
spin magnetization	0.00	μB per cell

=====

Most stable to least stable: (x), (w)

=====

(w)
DFT (PBE) results for a relaxed ZrTeSeN2 crystal.

```
data_ZrTeSeN2
_symmetry_space_group_name_H-M 'P 4/m m m'
_symmetry_Int_Tables_number 123
_symmetry_space_group_name_Hall '-P 4 2'
_cell_length_a 4.1217
_cell_length_b 4.1217
_cell_length_c 6.5185
_cell_angle_alpha 90.00
_cell_angle_beta 90.00
_cell_angle_gamma 90.00
loop_
_atom_site_label
_atom_site_type_symbol
_atom_site_fract_x
_atom_site_fract_y
_atom_site_fract_z
_atom_site_occupancy
Zr1 Zr 0.0000 0.0000 0.0000 1
Te1 Te 0.0000 0.0000 0.5000 1
Se1 Se 0.5000 0.5000 0.5000 1
N1 N 0.0000 0.5000 0.0000 1
```

Calculated values
spin magnetization	0.00	μB per cell

=====

(x)
DFT (PBE) results for a relaxed ZrTeSeN2 crystal.

```
data_ZrTeSeN2
_symmetry_space_group_name_H-M 'P 4/m m m'
_symmetry_Int_Tables_number 123
_symmetry_space_group_name_Hall '-P 4 2'
_cell_length_a 4.0826
_cell_length_b 4.0826
_cell_length_c 5.2646
_cell_angle_alpha 90.00
_cell_angle_beta 90.00
_cell_angle_gamma 90.00
loop_
_atom_site_label
_atom_site_type_symbol
_atom_site_fract_x
_atom_site_fract_y
_atom_site_fract_z
_atom_site_occupancy
Zr1 Zr 0.0000 0.0000 0.0000 1
Te1 Te 0.5000 0.5000 0.5000 1
Se1 Se 0.5000 0.5000 0.0000 1
N1 N 0.0000 0.5000 0.5000 1
```

Calculated values
spin magnetization	0.00	μB per cell

=====

Most stable to least stable: (w), (x)

=====

(w)
DFT (PBE) results for a relaxed ThSeN crystal.

```
data_ThSeN
_symmetry_space_group_name_H-M 'P 4/n m m'
_symmetry_Int_Tables_number 129
_cell_length_a 4.2128
_cell_length_b 4.2128
_cell_length_c 7.1977
_cell_angle_alpha 90.00
_cell_angle_beta 90.00
_cell_angle_gamma 90.00
loop_
_symmetry_equiv_pos_as_xyz
'x,y,z'
'-x,-y,-z'
'-y+1/2,x,z'
'y+1/2,-x,-z'
'-x+1/2,-y+1/2,z'
'x+1/2,y+1/2,-z'
'y,-x+1/2,z'
'-y,x+1/2,-z'
'x+1/2,-y,-z'
'-x+1/2,y,z'
'-y,-x,-z'
'y,x,z'
'-x,y+1/2,-z'
'x,-y+1/2,z'
'y+1/2,x+1/2,-z'
'-y+1/2,-x+1/2,z'
loop_
_atom_site_label
_atom_site_type_symbol
_atom_site_fract_x
_atom_site_fract_y
_atom_site_fract_z
_atom_site_occupancy
Th1 Th 0.2500 0.2500 0.1547 1
Se1 Se 0.2500 0.7500 0.5000 1
N1 N 0.2500 0.7500 0.0000 1
```

Calculated values
spin magnetization	0.00	μB per cell

=====

(x)
DFT (PBE) results for a relaxed ThSeN crystal.

```
data_ThSeN
_symmetry_space_group_name_H-M 'P 4/n m m'
_symmetry_Int_Tables_number 129
_cell_length_a 4.0795
_cell_length_b 4.0795
_cell_length_c 7.1971
_cell_angle_alpha 90.00
_cell_angle_beta 90.00
_cell_angle_gamma 90.00
loop_
_symmetry_equiv_pos_as_xyz
'x,y,z'
'-x,-y,-z'
'-y+1/2,x,z'
'y+1/2,-x,-z'
'-x+1/2,-y+1/2,z'
'x+1/2,y+1/2,-z'
'y,-x+1/2,z'
'-y,x+1/2,-z'
'x+1/2,-y,-z'
'-x+1/2,y,z'
'-y,-x,-z'
'y,x,z'
'-x,y+1/2,-z'
'x,-y+1/2,z'
'y+1/2,x+1/2,-z'
'-y+1/2,-x+1/2,z'
loop_
_atom_site_label
_atom_site_type_symbol
_atom_site_fract_x
_atom_site_fract_y
_atom_site_fract_z
_atom_site_occupancy
Th1 Th 0.2500 0.2500 0.1702 1
Se1 Se 0.2500 0.2500 0.6245 1
N1 N 0.2500 0.7500 0.0000 1
```

Calculated values
spin magnetization	0.00	μB per cell

=====

Most stable to least stable: (w), (x)